(1)
PBE-GGA BaScN2F, optimized geometry; total moment = 0.011 μB/atom; formation energy (no corrections) = 360.1 meV/atom; VASP energy = -24.98 eV per cell
1.0
4.650 0.000 0.000
0.000 4.650 0.000
0.000 0.000 4.642
Ba Sc N F
1 1 2 1
Cartesian
0.000 0.000 0.000
2.325 2.325 2.321
0.000 2.325 0.000
2.325 0.000 0.000
0.000 0.000 2.321


(2)
PBE-GGA BaSeN2F, optimized geometry; total moment = 0.998 μB/atom; formation energy (no corrections) = 855.9 meV/atom; VASP energy = -19.65 eV per cell
1.0
4.947 0.000 0.000
0.000 4.947 0.000
0.000 0.000 4.114
Ba Se N F
1 1 2 1
Cartesian
0.000 0.000 0.000
2.473 2.473 0.000
0.000 2.473 2.057
2.473 0.000 2.057
2.473 2.473 2.057


(3)
PBE-GGA BaSeN2F, optimized geometry; total moment = 0.631 μB/atom; formation energy (no corrections) = 889.5 meV/atom; VASP energy = -19.48 eV per cell
1.0
5.576 0.000 0.000
0.000 5.576 0.000
0.000 0.000 4.933
Ba Se N F
1 1 2 1
Cartesian
0.000 0.000 0.000
2.788 2.788 2.466
0.000 2.788 0.000
2.788 0.000 0.000
0.000 0.000 2.466


(4)
PBE-GGA BaSeN2F, optimized geometry; total moment = 0.036 μB/atom; formation energy (no corrections) = -287.0 meV/atom; VASP energy = -25.36 eV per cell
1.0
3.956 0.000 0.000
0.000 3.956 0.000
0.000 0.000 4.963
Ba Se N F
1 1 2 1
Cartesian
0.000 0.000 0.000
1.978 1.978 2.481
0.000 1.978 2.481
1.978 0.000 2.481
1.978 1.978 0.000


(5)
PBE-GGA BaSeN2F, optimized geometry; total moment = 0.570 μB/atom; formation energy (no corrections) = 1326.8 meV/atom; VASP energy = -17.30 eV per cell
1.0
5.389 0.000 0.000
0.000 5.389 0.000
0.000 0.000 6.668
Ba Se N F
1 1 2 1
Cartesian
0.000 0.000 0.000
0.000 0.000 3.334
0.000 2.694 0.000
2.694 0.000 0.000
2.694 2.694 3.334


(6)
PBE-GGA BaSiN2F, optimized geometry; total moment = 0.101 μB/atom; formation energy (no corrections) = -1120.7 meV/atom; VASP energy = -31.47 eV per cell
1.0
3.670 0.000 0.000
0.000 3.670 0.000
0.000 0.000 4.772
Ba Si N F
1 1 2 1
Cartesian
0.000 0.000 0.000
1.835 1.835 2.386
0.000 1.835 2.386
1.835 0.000 2.386
1.835 1.835 0.000


D(E_F) in states/eV per atom, matching the order above: 0.16 0.47 1.24 0.33 1.62 0.10